Entry 1:
First-principles (GGA-PBEsol) data for a geometry-optimized K4AlCo structure, as listed in Alexandria via LeMat-Bulk.

Structure (POSCAR):
```
K4AlCo
1.0
-5.490 -1.028 3.884
0.089 -4.809 4.812
0.102 1.764 6.570
K Co Al
4 1 1
direct
0.375 0.375 0.375
0.875 0.375 0.375
0.375 0.875 0.375
0.375 0.375 0.875
0.000 0.000 0.000
0.750 0.750 0.750
```

volume: 37.11 Å³ per atom
spin magnetization: 1.5 Bohr magnetons per cell
energy of formation from the pure elements: 1.09 eV/atom

=====

Entry 2:
First-principles (GGA-PBEsol) data for a geometry-optimized KAlCo structure, as listed in Alexandria via LeMat-Bulk.

Structure (POSCAR):
```
KAlCo
1.0
4.509 0.000 0.000
2.254 3.905 0.000
2.254 1.302 3.681
Co Al K
1 1 1
direct
0.750 0.750 0.750
0.500 0.500 0.500
0.000 0.000 0.000
```

volume: 21.60 Å³ per atom
spin magnetization: 0.6 Bohr magnetons per cell
energy of formation from the pure elements: 1.04 eV/atom

=====

Entry 3:
First-principles (GGA-PBEsol) data for a geometry-optimized KAlCoP2O8 structure, as listed in Alexandria via LeMat-Bulk.

Structure (POSCAR):
```
KAlCoP2O8
1.0
-2.110 -3.738 7.580
3.022 -8.610 -2.044
8.656 2.643 2.351
O K P Al Co
32 4 8 4 4
direct
0.508 0.133 0.363
0.619 0.023 0.830
0.735 0.280 0.531
0.009 0.680 0.561
0.469 0.640 0.144
0.191 0.779 0.027
0.509 0.439 0.320
0.596 0.679 0.401
0.414 0.311 0.578
0.008 0.637 0.867
0.119 0.170 0.977
0.825 0.252 0.973
0.533 0.847 0.657
0.739 0.527 0.218
0.691 0.973 0.221
0.406 0.954 0.189
0.969 0.856 0.360
0.004 0.901 0.821
0.906 0.811 0.046
0.983 0.149 0.644
0.096 0.599 0.321
0.972 0.086 0.172
0.494 0.547 0.674
0.239 0.782 0.473
0.235 0.469 0.720
0.033 0.343 0.153
0.994 0.326 0.453
0.472 0.828 0.914
0.325 0.027 0.748
0.914 0.422 0.689
0.504 0.179 0.099
0.483 0.356 0.851
0.284 0.413 0.060
0.784 0.940 0.587
0.718 0.545 0.919
0.218 0.081 0.455
0.909 0.294 0.580
0.583 0.573 0.275
0.483 0.934 0.787
0.528 0.061 0.213
0.983 0.213 0.066
0.409 0.420 0.706
0.028 0.787 0.939
0.083 0.725 0.427
0.045 0.553 0.701
0.545 0.299 0.447
0.885 0.931 0.193
0.385 0.807 0.069
0.948 0.462 0.299
0.448 0.701 0.538
0.122 0.062 0.806
0.622 0.194 0.938
```

volume: 14.41 Å³ per atom
uncorrected formation energy: -2204 meV/atom
spin magnetization: 12.0 Bohr magnetons per cell

=====

Entry 4:
First-principles (GGA-PBEsol) data for a geometry-optimized La3Al3Co2 structure, as listed in Alexandria via LeMat-Bulk.

Structure (POSCAR):
```
La3Al3Co2
1.0
-1.030 -0.016 4.320
1.363 -4.702 0.308
7.491 3.451 -0.484
Al La Co
3 3 2
direct
0.500 0.500 0.000
0.645 0.037 0.290
0.355 0.963 0.710
0.000 0.000 0.000
0.166 0.562 0.331
0.834 0.438 0.669
0.790 0.921 0.580
0.210 0.079 0.420
```

volume: 21.40 Å³ per atom
spin magnetization: 0.0 Bohr magnetons per cell
energy of formation from the pure elements: -0.39 eV/atom